(1)
This record from the Alexandria database describes a geometry-optimized Ba3TiTl structure. The functional is PBE.

ρ	4.6	g cm⁻³
ΔH_f (0 K)	53.4	kJ/mol of atoms
crystal system	cubic
distance to the lowest polymorph of the same formula	0.0	meV/atom

a b c (Å): 6.217 6.217 6.217
angles (deg): 90.00 90.00 90.00
Space group Pm-3m (No. 221)
Unique sites:
Ba 0.000 0.000 0.500 x3
Ti 0.000 0.000 0.000 x1
Tl 0.500 0.500 0.500 x1

=====

(2)
This record from the Alexandria database describes a geometry-optimized BaYRe2 structure. The functional is PBE.

ρ	11.4	g cm⁻³
ΔH_f (0 K)	106.2	kJ/mol of atoms
crystal system	orthorhombic
distance to the lowest polymorph of the same formula	830.3	meV/atom

a b c (Å): 3.503 4.854 10.245
angles (deg): 90.00 90.00 90.00
Space group Cmmm (No. 65)
Unique sites:
Ba 0.000 0.000 0.000 x2
Y 0.000 0.000 0.500 x2
Re 0.000 0.500 0.273 x4

=====

(3)
This record from the Alexandria database describes a geometry-optimized TlInHg3 structure. The functional is PBE.

ρ	11.0	g cm⁻³
ΔH_f (0 K)	-0.1	kJ/mol of atoms
crystal system	monoclinic
distance to the lowest polymorph of the same formula	0.0	meV/atom

a b c (Å): 16.988 3.413 9.793
angles (deg): 90.00 102.60 90.00
Space group C2/m (No. 12)
Unique sites:
Tl 0.107 0.000 0.047 x4
In 0.200 0.500 0.361 x4
Hg 0.002 0.500 0.255 x4
Hg 0.097 0.000 0.550 x4
Hg 0.198 0.500 0.832 x4

=====

(4)
This record from the Alexandria database describes a geometry-optimized AlCuTeS structure. The functional is PBE.

ρ	4.4	g cm⁻³
crystal system	monoclinic
raw formation energy	-0.372	eV/atom

a b c (Å): 7.070 4.073 6.959
angles (deg): 90.00 109.76 90.00
Space group Cm (No. 8)
Unique sites:
Al 0.000 0.000 0.000 x2
Cu 0.006 0.500 0.527 x2
Te 0.129 0.000 0.393 x2
S 0.127 0.500 0.882 x2

=====

(5)
This record from the Alexandria database describes a geometry-optimized NdTm5Sb4 structure. The functional is PBE.

ρ	7.6	g cm⁻³
crystal system	monoclinic
raw formation energy	-0.662	eV/atom

a b c (Å): 18.623 4.311 8.400
angles (deg): 90.00 107.00 90.00
Space group C2/m (No. 12)
Unique sites:
Nd 0.000 0.000 0.000 x2
Tm 0.000 0.000 0.500 x2
Tm 0.159 0.500 0.819 x4
Tm 0.182 0.500 0.349 x4
Sb 0.013 0.500 0.270 x4
Sb 0.174 0.000 0.087 x4

=====

(6)
This record from the Alexandria database describes a geometry-optimized Ba2AgSb structure. The functional is PBE.

ρ	5.9	g cm⁻³
crystal system	tetragonal
raw formation energy	-0.509	eV/atom

a b c (Å): 4.957 4.957 11.611
angles (deg): 90.00 90.00 90.00
Space group I-4m2 (No. 119)
Unique sites:
Ba 0.000 0.000 0.000 x2
Ba 0.000 0.500 0.250 x2
Ag 0.000 0.000 0.500 x2
Sb 0.000 0.500 0.750 x2

=====

(7)
This record from the Alexandria database describes a geometry-optimized MgZrAgAu structure. The functional is PBE.

ρ	9.1	g cm⁻³
ΔH_f (0 K)	-37.8	kJ/mol of atoms
crystal system	cubic

a b c (Å): 6.744 6.744 6.744
angles (deg): 90.00 90.00 90.00
Space group F-43m (No. 216)
Unique sites:
Mg 0.000 0.000 0.000 x4
Zr 0.000 0.000 0.500 x4
Ag 0.250 0.250 0.750 x4
Au 0.250 0.250 0.250 x4

=====

(8)
This record from the Alexandria database describes a geometry-optimized KLiMg2Cl6 structure. The functional is PBE.

ρ	1.7	g cm⁻³
crystal system	monoclinic
raw formation energy	-1.836	eV/atom

a b c (Å): 13.263 13.297 7.500
angles (deg): 90.00 111.01 90.00
Space group C2/c (No. 15)
Unique sites:
K 0.000 0.116 0.250 x4
Li 0.000 0.205 0.750 x4
Mg 0.188 0.421 0.187 x8
Cl 0.110 0.268 0.054 x8
Cl 0.122 0.084 0.686 x8
Cl 0.136 0.446 0.460 x8

=====

(9)
This record from the Alexandria database describes a geometry-optimized CeThSn2 structure. The functional is PBE.

ρ	9.0	g cm⁻³
ΔH_f (0 K)	-52.8	kJ/mol of atoms
crystal system	orthorhombic

a b c (Å): 7.250 8.976 3.472
angles (deg): 90.00 90.00 90.00
Space group Cmmm (No. 65)
Unique sites:
Ce 0.000 0.000 0.000 x2
Th 0.000 0.500 0.000 x2
Sn 0.250 0.250 0.500 x4

=====

(10)
This record from the Alexandria database describes a geometry-optimized DyEr3Tm2Sb6 structure. The functional is PBE.

ρ	8.2	g cm⁻³
crystal system	monoclinic
raw formation energy	-1.092	eV/atom

a b c (Å): 18.965 4.350 8.703
angles (deg): 90.00 103.21 90.00
Space group C2/m (No. 12)
Unique sites:
Dy 0.000 0.000 0.000 x2
Er 0.000 0.000 0.500 x2
Er 0.166 0.500 0.833 x4
Tm 0.167 0.500 0.333 x4
Sb 0.001 0.500 0.252 x4
Sb 0.167 0.000 0.084 x4
Sb 0.167 0.000 0.582 x4

=====

(11)
This record from the Alexandria database describes a geometry-optimized LiTcIBr2 structure. The functional is PBE.

ρ	3.2	g cm⁻³
crystal system	tetragonal
raw formation energy	0.801	eV/atom

a b c (Å): 6.357 6.357 5.005
angles (deg): 90.00 90.00 90.00
Space group P4/mmm (No. 123)
Unique sites:
Li 0.000 0.000 0.000 x1
Tc 0.500 0.500 0.000 x1
I 0.000 0.000 0.500 x1
Br 0.000 0.500 0.500 x2

=====

(12)
This record from the Alexandria database describes a geometry-optimized MgTl12Hg7 structure. The functional is PBE.

ρ	10.7	g cm⁻³
ΔH_f (0 K)	3.2	kJ/mol of atoms
crystal system	trigonal
distance to the lowest polymorph of the same formula	18.2	meV/atom

a b c (Å): 12.7857 12.7857 12.7454
angles (deg): 90.00 90.00 120.00
Space group R-3 (No. 148, hexagonal axes)
Unique sites:
Mg 0.0000 0.0000 0.0000 x3
Tl 0.0365 0.4519 0.7049 x18
Tl 0.0558 0.8186 0.3994 x18
Hg 0.0000 0.0000 0.5000 x3
Hg 0.0720 0.1723 0.8081 x18